Entry from the Alexandria database: a relaxed structure of CsPa3Cd4O12 (GGA-PBE).

a = 12.5872 Å, b = 12.5872 Å, c = 8.1003 Å
α = 90.00°, β = 90.00°, γ = 120.00°
Space group R32 (No. 155, hexagonal axes)
One atom of each set of equivalent atoms:
Cs  0.0000  0.0000  0.0000 [3 per cell]
Pa  0.0000  0.5551  0.0000 [9 per cell]
Cd  0.0000  0.0000  0.5000 [3 per cell]
Cd  0.0000  0.4453  0.5000 [9 per cell]
O  0.0000  0.6169  0.5000 [9 per cell]
O  0.0000  0.8312  0.5000 [9 per cell]
O  0.0703  0.2461  0.1782 [18 per cell]

Results
- Theoretical density: 6.58 g/cm³
- Density of states at the Fermi level: 0.0 states/eV/cell
- E_form (uncorrected): -228.36 kJ per mole of atoms

Entry from the Alexandria database: a relaxed structure of CsPa2Cd2O7 (GGA-PBE).

a = 4.393 Å, b = 4.400 Å, c = 21.715 Å
α = 90.00°, β = 90.00°, γ = 90.00°
Space group Immm (No. 71)
One atom of each set of equivalent atoms:
Cs  0.000  0.000  0.000 [2 per cell]
Pa  0.000  0.000  0.397 [4 per cell]
Cd  0.000  0.500  0.251 [4 per cell]
O  0.000  0.000  0.291 [4 per cell]
O  0.000  0.000  0.500 [2 per cell]
O  0.000  0.500  0.105 [4 per cell]
O  0.000  0.500  0.395 [4 per cell]

Results
- Theoretical density: 7.37 g/cm³
- Density of states at the Fermi level: 3.4 states/eV/cell
- E_form (uncorrected): -240.82 kJ per mole of atoms

Entry from the Alexandria database: a relaxed structure of Cs3Pa2CdO9 (GGA-PBE).

a = 6.3142 Å, b = 6.3142 Å, c = 7.7130 Å
α = 90.00°, β = 90.00°, γ = 120.00°
Space group P-3m1 (No. 164)
One atom of each set of equivalent atoms:
Cs  0.0000  0.0000  0.0000 [1 per cell]
Cs  0.3333  0.6667  0.6598 [2 per cell]
Pa  0.3333  0.6667  0.1692 [2 per cell]
Cd  0.0000  0.0000  0.5000 [1 per cell]
O  0.0000  0.5000  0.0000 [3 per cell]
O  0.1752  0.3505  0.3194 [6 per cell]

Results
- Theoretical density: 6.97 g/cm³
- Density of states at the Fermi level: 14.2 states/eV/cell
- E_form (uncorrected): -210.35 kJ per mole of atoms

Entry from the Alexandria database: a relaxed structure of Cs2PaCd2O6 (GGA-PBE).

a = 6.5921 Å, b = 6.5921 Å, c = 18.9696 Å
α = 90.00°, β = 90.00°, γ = 120.00°
Space group R-3m (No. 166, hexagonal axes)
One atom of each set of equivalent atoms:
Cs  0.0000  0.0000  0.2108 [6 per cell]
Pa  0.0000  0.0000  0.0000 [3 per cell]
Cd  0.0000  0.0000  0.4060 [6 per cell]
O  0.0336  0.5168  0.7372 [18 per cell]

Results
- Theoretical density: 5.71 g/cm³
- Density of states at the Fermi level: 32.9 states/eV/cell
- E_form (uncorrected): -176.35 kJ per mole of atoms

Entry from the Alexandria database: a relaxed structure of Cs2PaCdO6 (GGA-PBE).

a = 8.885 Å, b = 8.885 Å, c = 8.885 Å
α = 90.00°, β = 90.00°, γ = 90.00°
Space group Fm-3m (No. 225)
One atom of each set of equivalent atoms:
Cs  0.250  0.250  0.250 [8 per cell]
Pa  0.000  0.000  0.000 [4 per cell]
Cd  0.000  0.000  0.500 [4 per cell]
O  0.000  0.000  0.236 [24 per cell]

Results
- Theoretical density: 6.68 g/cm³
- Density of states at the Fermi level: 22.8 states/eV/cell
- E_form (uncorrected): -168.76 kJ per mole of atoms

Entry from the Alexandria database: a relaxed structure of Cs4Pa3CdO12 (GGA-PBE).

a = 8.970 Å, b = 8.970 Å, c = 8.970 Å
α = 90.00°, β = 90.00°, γ = 90.00°
Space group Im-3m (No. 229)
One atom of each set of equivalent atoms:
Cs  0.250  0.250  0.250 [8 per cell]
Pa  0.000  0.000  0.500 [6 per cell]
Cd  0.000  0.000  0.000 [2 per cell]
O  0.000  0.000  0.271 [12 per cell]
O  0.000  0.250  0.500 [12 per cell]

Results
- Theoretical density: 7.04 g/cm³
- Density of states at the Fermi level: 35.7 states/eV/cell
- E_form (uncorrected): -232.83 kJ per mole of atoms